NiOsW2 | PBE-GGA | optimized geometry

E_form: 19.8 kJ per mole of atoms
crystal system: trigonal
energy: -42.1 eV/f.u.
polymorph energy (0 for the lowest one): 198.1 meV/atom
space-group type: No. 166

Unit cell a=9.0890 b=9.0890 c=9.0890 alpha=17.42 beta=17.42 gamma=17.42
Atoms (fractional coordinates):
Ni 0.0000 0.0000 0.0000
Os 0.5000 0.5000 0.5000
W 0.2520 0.2520 0.2520
W 0.7480 0.7480 0.7480

NiOsW | PBE-GGA | optimized geometry

E_form: 14.9 kJ per mole of atoms
crystal system: monoclinic
energy: -29.5 eV/f.u.
polymorph energy (0 for the lowest one): 152.8 meV/atom
space-group type: No. 12

Unit cell a=4.4742 b=4.4742 c=5.1614 alpha=103.84 beta=103.84 gamma=60.28
Atoms (fractional coordinates):
Ni 0.0211 0.0211 0.2424
Ni 0.9789 0.9789 0.7576
Os 0.2906 0.2906 0.6602
Os 0.7094 0.7094 0.3398
W 0.3612 0.3612 0.1734
W 0.6388 0.6388 0.8266

NiOsW2 | PBE-GGA | optimized geometry

E_form: 4.3 kJ per mole of atoms
crystal system: orthorhombic
energy: -42.7 eV/f.u.
polymorph energy (0 for the lowest one): 37.4 meV/atom
space-group type: No. 65

Unit cell a=4.6798 b=4.6798 c=2.7998 alpha=90.00 beta=90.00 gamma=108.82
Atoms (fractional coordinates):
Ni 0.0000 0.0000 0.0000
Os 0.5000 0.5000 0.0000
W 0.0000 0.5000 0.5000
W 0.5000 0.0000 0.5000

NiOs2W | PBE-GGA | optimized geometry

E_form: 6.2 kJ per mole of atoms
crystal system: tetragonal
energy: -40.9 eV/f.u.
polymorph energy (0 for the lowest one): 48.7 meV/atom
space-group type: No. 139

Unit cell a=4.6419 b=4.6419 c=4.6419 alpha=130.66 beta=130.66 gamma=72.35
Atoms (fractional coordinates):
Ni 0.0000 0.0000 0.0000
Os 0.2500 0.7500 0.5000
Os 0.7500 0.2500 0.5000
W 0.5000 0.5000 0.0000

NiOsW2 | PBE-GGA | optimized geometry

E_form: 80.6 kJ per mole of atoms
crystal system: tetragonal
energy: -39.6 eV/f.u.
polymorph energy (0 for the lowest one): 829.0 meV/atom
space-group type: No. 122

Unit cell a=9.1551 b=9.1551 c=9.1551 alpha=155.91 beta=155.91 gamma=34.33
Atoms (fractional coordinates):
Ni 0.0000 0.0000 0.0000
Ni 0.7500 0.2500 0.5000
Os 0.2500 0.7500 0.5000
Os 0.5000 0.5000 0.0000
W 0.1094 0.6250 0.9844
W 0.3750 0.3594 0.4844
W 0.6406 0.1250 0.0156
W 0.8750 0.8906 0.5156

NiOs2W | PBE-GGA | optimized geometry

E_form: 18.4 kJ per mole of atoms
crystal system: tetragonal
energy: -40.4 eV/f.u.
polymorph energy (0 for the lowest one): 175.8 meV/atom
space-group type: No. 123

Unit cell a=2.7481 b=2.7481 c=7.4501 alpha=90.00 beta=90.00 gamma=90.00
Atoms (fractional coordinates):
Ni 0.0000 0.0000 0.0000
Os 0.5000 0.5000 0.2361
Os 0.5000 0.5000 0.7639
W 0.0000 0.0000 0.5000